Version w
A geometry-optimized Pm2Ga structure. Source: OQMD, functional GGA-PBE.

a = 9.0256 Å, b = 9.0256 Å, c = 9.0256 Å
α = 60.00°, β = 60.00°, γ = 60.00°
With the nearest neighbours (Å) after each atom.
Fractional positions:
Pm 0.0000 0.0000 0.0000  2 Ga 2.76
Pm 0.0000 0.0000 0.5000  2 Ga 2.76
Pm 0.0000 0.5000 0.0000  2 Ga 2.76
Pm 0.5000 0.0000 0.0000  2 Ga 2.76
Ga 0.1250 0.1250 0.1250  4 Pm 2.76
Ga 0.8750 0.8750 0.8750  4 Pm 2.76


Version x
A geometry-optimized Pm2Ga structure. Source: OQMD, functional GGA-PBE.

a = 6.2769 Å, b = 6.2769 Å, c = 6.2769 Å
α = 60.00°, β = 60.00°, γ = 60.00°
With the nearest neighbours (Å) after each atom.
Fractional positions:
Pm 0.0000 0.0000 0.0000  6 Pm 3.14
Pm 0.0000 0.0000 0.5000  6 Pm 3.14
Pm 0.0000 0.5000 0.0000  6 Pm 3.14
Pm 0.5000 0.0000 0.0000  6 Pm 3.14
Ga 0.3750 0.3750 0.3750  12 Pm 3.68, 4 Ga 3.84
Ga 0.6250 0.6250 0.6250  12 Pm 3.68, 4 Ga 3.84


Verdict on stability: version w comes out at the bottom.


Version w
A geometry-optimized PmGaPt structure. Source: OQMD, functional GGA-PBE.

a = 4.5796 Å, b = 4.5796 Å, c = 4.5796 Å
α = 60.00°, β = 60.00°, γ = 60.00°
With the nearest neighbours (Å) after each atom.
Fractional positions:
Pm 0.0000 0.0000 0.0000  4 Ga 2.80
Ga 0.2500 0.2500 0.2500  4 Pt 2.80, 4 Pm 2.80
Pt 0.5000 0.5000 0.5000  4 Ga 2.80


Version x
A geometry-optimized PmGaPt structure. Source: OQMD, functional GGA-PBE.

a = 7.0995 Å, b = 4.4883 Å, c = 7.7996 Å
α = 90.00°, β = 90.00°, γ = 90.00°
With the nearest neighbours (Å) after each atom.
Fractional positions:
Pm 0.0169 0.2500 0.1980  5 Pt 2.96-3.17, 6 Ga 3.14-3.30
Pm 0.4831 0.7500 0.6980  5 Pt 2.96-3.17, 6 Ga 3.14-3.30
Pm 0.5169 0.2500 0.3020  5 Pt 2.96-3.17, 6 Ga 3.14-3.30
Pm 0.9831 0.7500 0.8020  5 Pt 2.96-3.17, 6 Ga 3.14-3.30
Ga 0.1692 0.2500 0.5756  4 Pt 2.64-2.77
Ga 0.3308 0.7500 0.0756  4 Pt 2.64-2.77
Ga 0.6692 0.2500 0.9244  4 Pt 2.64-2.77
Ga 0.8308 0.7500 0.4244  4 Pt 2.64-2.77
Pt 0.2207 0.7500 0.4028  4 Ga 2.64-2.77
Pt 0.2793 0.2500 0.9028  4 Ga 2.64-2.77
Pt 0.7207 0.7500 0.0972  4 Ga 2.64-2.77
Pt 0.7793 0.2500 0.5972  4 Ga 2.64-2.77


Version y
A geometry-optimized PmGaPt structure. Source: OQMD, functional GGA-PBE.

a = 4.7688 Å, b = 4.7688 Å, c = 4.7688 Å
α = 60.00°, β = 60.00°, γ = 60.00°
With the nearest neighbours (Å) after each atom.
Fractional positions:
Pm 0.0000 0.0000 0.0000  4 Ga 2.92, 4 Pt 2.92
Ga 0.7500 0.7500 0.7500  4 Pm 2.92
Pt 0.2500 0.2500 0.2500  4 Pm 2.92


Verdict on stability: version y comes out at the bottom.


Version w
A geometry-optimized PmGaSi structure. Source: OQMD, functional GGA-PBE.

a = 4.1630 Å, b = 4.1630 Å, c = 4.1638 Å
α = 90.00°, β = 90.00°, γ = 120.00°
With the nearest neighbours (Å) after each atom.
Fractional positions:
Pm 0.0000 0.0000 0.0000  6 Si 3.18, 6 Ga 3.18
Ga 0.3333 0.6667 0.5000  3 Si 2.40
Si 0.6667 0.3333 0.5000  3 Ga 2.40


Version x
A geometry-optimized PmGaSi structure. Source: OQMD, functional GGA-PBE.

a = 4.6313 Å, b = 4.6313 Å, c = 4.6313 Å
α = 60.00°, β = 60.00°, γ = 60.00°
With the nearest neighbours (Å) after each atom.
Fractional positions:
Pm 0.0000 0.0000 0.0000  4 Si 2.84
Ga 0.5000 0.5000 0.5000  4 Si 2.84
Si 0.7500 0.7500 0.7500  4 Pm 2.84, 4 Ga 2.84


Verdict on stability: version x comes out at the bottom.


Version w
A geometry-optimized PmGaTc structure. Source: OQMD, functional GGA-PBE.

a = 4.7271 Å, b = 4.7271 Å, c = 4.7271 Å
α = 60.00°, β = 60.00°, γ = 60.00°
With the nearest neighbours (Å) after each atom.
Fractional positions:
Pm 0.0000 0.0000 0.0000  4 Ga 2.89, 4 Tc 2.89
Ga 0.7500 0.7500 0.7500  4 Pm 2.89
Tc 0.2500 0.2500 0.2500  4 Pm 2.89


Version x
A geometry-optimized PmGaTc structure. Source: OQMD, functional GGA-PBE.

a = 4.5456 Å, b = 4.5456 Å, c = 4.5456 Å
α = 60.00°, β = 60.00°, γ = 60.00°
With the nearest neighbours (Å) after each atom.
Fractional positions:
Pm 0.0000 0.0000 0.0000  4 Ga 2.78
Ga 0.2500 0.2500 0.2500  4 Tc 2.78, 4 Pm 2.78
Tc 0.5000 0.5000 0.5000  4 Ga 2.78


Verdict on stability: version w comes out at the bottom.


Version w
A geometry-optimized PmTlGa structure. Source: OQMD, functional GGA-PBE.

a = 5.0525 Å, b = 5.0525 Å, c = 5.0525 Å
α = 60.00°, β = 60.00°, γ = 60.00°
With the nearest neighbours (Å) after each atom.
Fractional positions:
Pm 0.0000 0.0000 0.0000  4 Ga 3.09, 4 Tl 3.09
Tl 0.2500 0.2500 0.2500  4 Pm 3.09
Ga 0.7500 0.7500 0.7500  4 Pm 3.09


Version x
A geometry-optimized PmTlGa structure. Source: OQMD, functional GGA-PBE.

a = 4.8787 Å, b = 4.8787 Å, c = 4.8787 Å
α = 60.00°, β = 60.00°, γ = 60.00°
With the nearest neighbours (Å) after each atom.
Fractional positions:
Pm 0.0000 0.0000 0.0000  4 Ga 2.99
Tl 0.5000 0.5000 0.5000  4 Ga 2.99
Ga 0.2500 0.2500 0.2500  4 Tl 2.99, 4 Pm 2.99


Verdict on stability: version w comes out at the bottom.


Version w
A geometry-optimized PmZnGa structure. Source: OQMD, functional GGA-PBE.

a = 4.6025 Å, b = 4.6025 Å, c = 4.6025 Å
α = 60.00°, β = 60.00°, γ = 60.00°
With the nearest neighbours (Å) after each atom.
Fractional positions:
Pm 0.0000 0.0000 0.0000  4 Zn 2.82
Zn 0.7500 0.7500 0.7500  4 Pm 2.82, 4 Ga 2.82
Ga 0.5000 0.5000 0.5000  4 Zn 2.82


Version x
A geometry-optimized PmZnGa structure. Source: OQMD, functional GGA-PBE.

a = 4.8010 Å, b = 4.8010 Å, c = 4.8010 Å
α = 60.00°, β = 60.00°, γ = 60.00°
With the nearest neighbours (Å) after each atom.
Fractional positions:
Pm 0.0000 0.0000 0.0000  4 Zn 2.94, 4 Ga 2.94
Zn 0.2500 0.2500 0.2500  4 Pm 2.94
Ga 0.7500 0.7500 0.7500  4 Pm 2.94


Verdict on stability: version x comes out at the bottom.


Version w
A geometry-optimized PrGaRe structure. Source: OQMD, functional GGA-PBE.

a = 4.5912 Å, b = 4.5912 Å, c = 4.5912 Å
α = 60.00°, β = 60.00°, γ = 60.00°
With the nearest neighbours (Å) after each atom.
Fractional positions:
Pr 0.0000 0.0000 0.0000  4 Ga 2.81
Ga 0.2500 0.2500 0.2500  4 Re 2.81, 4 Pr 2.81
Re 0.5000 0.5000 0.5000  4 Ga 2.81


Version x
A geometry-optimized PrGaRe structure. Source: OQMD, functional GGA-PBE.

a = 4.7964 Å, b = 4.7964 Å, c = 4.7964 Å
α = 60.00°, β = 60.00°, γ = 60.00°
With the nearest neighbours (Å) after each atom.
Fractional positions:
Pr 0.0000 0.0000 0.0000  4 Ga 2.94, 4 Re 2.94
Ga 0.7500 0.7500 0.7500  4 Pr 2.94
Re 0.2500 0.2500 0.2500  4 Pr 2.94


Verdict on stability: version x comes out at the bottom.


Version w
A geometry-optimized PrTlGa structure. Source: OQMD, functional GGA-PBE.

a = 4.9348 Å, b = 4.9348 Å, c = 4.9348 Å
α = 60.00°, β = 60.00°, γ = 60.00°
With the nearest neighbours (Å) after each atom.
Fractional positions:
Pr 0.0000 0.0000 0.0000  4 Ga 3.02
Tl 0.5000 0.5000 0.5000  4 Ga 3.02
Ga 0.2500 0.2500 0.2500  4 Tl 3.02, 4 Pr 3.02


Version x
A geometry-optimized PrTlGa structure. Source: OQMD, functional GGA-PBE.

a = 5.1191 Å, b = 5.1191 Å, c = 5.1191 Å
α = 60.00°, β = 60.00°, γ = 60.00°
With the nearest neighbours (Å) after each atom.
Fractional positions:
Pr 0.0000 0.0000 0.0000  4 Ga 3.13, 4 Tl 3.13
Tl 0.2500 0.2500 0.2500  4 Pr 3.13
Ga 0.7500 0.7500 0.7500  4 Pr 3.13


Verdict on stability: version x comes out at the bottom.


Version w
A geometry-optimized GaPt7 structure. Source: OQMD, functional GGA-PBE.

a = 2.7888 Å, b = 3.9024 Å, c = 36.9194 Å
α = 90.00°, β = 90.00°, γ = 90.00°
With the nearest neighbours (Å) after each atom.
Fractional positions:
Ga 0.2500 0.2500 0.2159  5 Pt 2.55-2.59, 2 Ga 2.79
Ga 0.7500 0.7500 0.7841  5 Pt 2.55-2.59, 2 Ga 2.79
Pt 0.2500 0.2500 0.2860  1 Ga 2.59, 7 Pt 2.79-2.89
Pt 0.2500 0.2500 0.3642  12 Pt 2.79-2.89
Pt 0.2500 0.2500 0.4420  12 Pt 2.79-2.87
Pt 0.2500 0.2500 0.5194  12 Pt 2.79-2.87
Pt 0.2500 0.2500 0.5971  12 Pt 2.79-2.90
Pt 0.2500 0.2500 0.6757  11 Pt 2.79-2.90
Pt 0.2500 0.2500 0.7604  4 Ga 2.55, 2 Pt 2.79
Pt 0.7500 0.7500 0.2396  4 Ga 2.55, 2 Pt 2.79
Pt 0.7500 0.7500 0.3243  11 Pt 2.79-2.90
Pt 0.7500 0.7500 0.4029  12 Pt 2.79-2.90
Pt 0.7500 0.7500 0.4806  12 Pt 2.79-2.87
Pt 0.7500 0.7500 0.5580  12 Pt 2.79-2.87
Pt 0.7500 0.7500 0.6358  12 Pt 2.79-2.89
Pt 0.7500 0.7500 0.7140  1 Ga 2.59, 7 Pt 2.79-2.89


Version x
A geometry-optimized GaPt7 structure. Source: OQMD, functional GGA-PBE.

a = 2.8009 Å, b = 2.8009 Å, c = 45.0408 Å
α = 90.00°, β = 90.00°, γ = 90.00°
With the nearest neighbours (Å) after each atom.
Fractional positions:
Ga 0.2500 0.2500 0.1686  4 Pt 2.74, 4 Ga 2.80
Ga 0.7500 0.7500 0.8314  4 Pt 2.74, 4 Ga 2.80
Pt 0.2500 0.2500 0.2572  12 Pt 2.80-2.88
Pt 0.2500 0.2500 0.3457  12 Pt 2.80-2.81
Pt 0.2500 0.2500 0.4337  12 Pt 2.80-2.81
Pt 0.2500 0.2500 0.5221  12 Pt 2.80-2.81
Pt 0.2500 0.2500 0.6103  12 Pt 2.80
Pt 0.2500 0.2500 0.6984  12 Pt 2.80-2.82
Pt 0.2500 0.2500 0.7892  4 Ga 2.74, 8 Pt 2.80-2.88
Pt 0.7500 0.7500 0.2108  4 Ga 2.74, 8 Pt 2.80-2.88
Pt 0.7500 0.7500 0.3016  12 Pt 2.80-2.82
Pt 0.7500 0.7500 0.3897  12 Pt 2.80
Pt 0.7500 0.7500 0.4779  12 Pt 2.80-2.81
Pt 0.7500 0.7500 0.5663  12 Pt 2.80-2.81
Pt 0.7500 0.7500 0.6543  12 Pt 2.80-2.81
Pt 0.7500 0.7500 0.7428  12 Pt 2.80-2.88


Verdict on stability: version x comes out at the bottom.


Version w
A geometry-optimized RbGaPt structure. Source: OQMD, functional GGA-PBE.

a = 5.1414 Å, b = 5.1414 Å, c = 5.1414 Å
α = 60.00°, β = 60.00°, γ = 60.00°
With the nearest neighbours (Å) after each atom.
Fractional positions:
Rb 0.0000 0.0000 0.0000  4 Ga 3.15, 4 Pt 3.15
Ga 0.7500 0.7500 0.7500  4 Rb 3.15
Pt 0.2500 0.2500 0.2500  4 Rb 3.15


Version x
A geometry-optimized RbGaPt structure. Source: OQMD, functional GGA-PBE.

a = 4.9416 Å, b = 4.9416 Å, c = 4.9416 Å
α = 60.00°, β = 60.00°, γ = 60.00°
With the nearest neighbours (Å) after each atom.
Fractional positions:
Rb 0.0000 0.0000 0.0000  4 Pt 3.03
Ga 0.5000 0.5000 0.5000  4 Pt 3.03
Pt 0.7500 0.7500 0.7500  4 Ga 3.03, 4 Rb 3.03


Version y
A geometry-optimized RbGaPt structure. Source: OQMD, functional GGA-PBE.

a = 4.8997 Å, b = 4.8997 Å, c = 4.8997 Å
α = 60.00°, β = 60.00°, γ = 60.00°
With the nearest neighbours (Å) after each atom.
Fractional positions:
Rb 0.0000 0.0000 0.0000  4 Ga 3.00
Ga 0.7500 0.7500 0.7500  4 Rb 3.00, 4 Pt 3.00
Pt 0.5000 0.5000 0.5000  4 Ga 3.00


Verdict on stability: version w comes out at the bottom.


Version w
A geometry-optimized Sc2Ga2Pt structure. Source: OQMD, functional GGA-PBE.

a = 7.2041 Å, b = 7.2041 Å, c = 7.2041 Å
α = 150.51°, β = 150.51°, γ = 42.20°
With the nearest neighbours (Å) after each atom.
Fractional positions:
Sc 0.0955 0.0955 0.0000  1 Sc 2.57, 4 Ga 2.77
Sc 0.9045 0.9045 0.0000  1 Sc 2.57, 4 Ga 2.77
Ga 0.2500 0.7500 0.5000  4 Ga 2.59, 4 Sc 2.77
Ga 0.7500 0.2500 0.5000  4 Ga 2.59, 4 Sc 2.77
Pt 0.5000 0.5000 0.0000  8 Sc 2.89


Version x
A geometry-optimized Sc2Ga2Pt structure. Source: OQMD, functional GGA-PBE.

a = 6.6756 Å, b = 6.6756 Å, c = 4.0431 Å
α = 90.00°, β = 90.00°, γ = 90.00°
With the nearest neighbours (Å) after each atom.
Fractional positions:
Sc 0.1704 0.3296 0.0000  6 Ga 2.74-2.87
Sc 0.3296 0.8296 0.0000  6 Ga 2.74-2.87
Sc 0.6704 0.1704 0.0000  6 Ga 2.74-2.87
Sc 0.8296 0.6704 0.0000  6 Ga 2.74-2.87
Ga 0.1335 0.6335 0.5000  1 Ga 2.52, 2 Pt 2.60, 2 Sc 2.74
Ga 0.3665 0.1335 0.5000  1 Ga 2.52, 2 Pt 2.60, 2 Sc 2.74
Ga 0.6335 0.8665 0.5000  1 Ga 2.52, 2 Pt 2.60, 2 Sc 2.74
Ga 0.8665 0.3665 0.5000  1 Ga 2.52, 2 Pt 2.60, 2 Sc 2.74
Pt 0.0000 0.0000 0.5000  4 Ga 2.60
Pt 0.5000 0.5000 0.5000  4 Ga 2.60


Version y
A geometry-optimized Sc2Ga2Pt structure. Source: OQMD, functional GGA-PBE.

a = 6.5752 Å, b = 6.5752 Å, c = 6.5752 Å
α = 144.52°, β = 144.52°, γ = 51.05°
With the nearest neighbours (Å) after each atom.
Fractional positions:
Sc 0.2500 0.7500 0.5000  4 Ga 2.72, 4 Sc 2.83
Sc 0.7500 0.2500 0.5000  4 Ga 2.72, 4 Sc 2.83
Ga 0.0945 0.0945 0.0000  1 Ga 2.24
Ga 0.9055 0.9055 0.0000  1 Ga 2.24
Pt 0.5000 0.5000 0.0000  8 Ga 3.05


Verdict on stability: version y comes out at the bottom.


Version w
A geometry-optimized SmGaSiPt2 structure. Source: OQMD, functional GGA-PBE.

a = 4.2701 Å, b = 4.2701 Å, c = 10.1058 Å
α = 90.00°, β = 90.00°, γ = 90.00°
With the nearest neighbours (Å) after each atom.
Fractional positions:
Sm 0.2500 0.2500 0.2402  4 Si 3.23, 4 Ga 3.26, 9 Pt 3.28-3.58
Sm 0.7500 0.7500 0.7598  4 Si 3.23, 4 Ga 3.26, 9 Pt 3.28-3.58
Ga 0.2500 0.2500 0.6387  5 Pt 2.50-2.55
Ga 0.7500 0.7500 0.3613  5 Pt 2.50-2.55
Si 0.2500 0.7500 0.0000  4 Pt 2.43
Si 0.7500 0.2500 0.0000  4 Pt 2.43
Pt 0.2500 0.2500 0.8858  4 Si 2.43, 1 Ga 2.50
Pt 0.2500 0.7500 0.5000  4 Ga 2.55
Pt 0.7500 0.2500 0.5000  4 Ga 2.55
Pt 0.7500 0.7500 0.1142  4 Si 2.43, 1 Ga 2.50


Version x
A geometry-optimized SmGaSiPt2 structure. Source: OQMD, functional GGA-PBE.

a = 4.2592 Å, b = 4.2592 Å, c = 10.1574 Å
α = 90.00°, β = 90.00°, γ = 90.00°
With the nearest neighbours (Å) after each atom.
Fractional positions:
Sm 0.2500 0.2500 0.2489  8 Pt 3.20-3.32, 4 Si 3.27, 4 Ga 3.31
Sm 0.7500 0.7500 0.7511  8 Pt 3.20-3.32, 4 Si 3.27, 4 Ga 3.31
Ga 0.2500 0.7500 0.0000  4 Pt 2.57
Ga 0.7500 0.2500 0.0000  4 Pt 2.57
Si 0.2500 0.2500 0.6266  5 Pt 2.35-2.49
Si 0.7500 0.7500 0.3734  5 Pt 2.35-2.49
Pt 0.2500 0.2500 0.8576  1 Si 2.35, 4 Ga 2.57
Pt 0.2500 0.7500 0.5000  4 Si 2.49
Pt 0.7500 0.2500 0.5000  4 Si 2.49
Pt 0.7500 0.7500 0.1424  1 Si 2.35, 4 Ga 2.57


Verdict on stability: version w comes out at the bottom.